DFT (PBE) results for HoEr3Mg2 after structural relaxation.

Fermi-level density of states	1.28	states/eV/atom
DFT formation energy	-0.20	eV per formula unit
final energy	-21.65	eV/cell

Cell: 3.6155 3.6155 12.9663 Å, 90.00 90.00 90.00°
Last column: nearest neighbours and their distance in Å.
Space group P4/mmm (No. 123)
Unique sites:
Ho (0.0000, 0.0000, 0.0000) [1 per cell]  8 Er 3.51, 4 Ho 3.62
Er (0.5000, 0.5000, 0.1860) [2 per cell]  4 Mg 3.29, 4 Ho 3.51, 4 Er 3.62
Er (0.5000, 0.5000, 0.5000) [1 per cell]  8 Mg 3.25, 4 Er 3.62
Mg (0.0000, 0.0000, 0.3454) [2 per cell]  8 Er 3.25-3.29, 4 Mg 3.62

DFT (PBE) results for Ho2Er12Mg after structural relaxation.

Fermi-level density of states	1.40	states/eV/atom
DFT formation energy	4.87	eV per formula unit
final energy	-121.28	eV/cell

Cell: 6.3980 6.3980 24.2062 Å, 90.00 90.00 90.00°
Last column: nearest neighbours and their distance in Å.
Space group P4/nbm (No. 125, origin choice 2)
Unique sites:
Ho (0.2500, 0.7500, 0.2299) [4 per cell]  8 Er 3.50-3.59
Er (0.0663, 0.5663, 0.3882) [8 per cell]  1 Mg 3.17, 7 Er 3.31-3.35
Er (0.0814, 0.5814, 0.9382) [8 per cell]  8 Er 3.05-3.41
Er (0.2500, 0.2500, 0.1625) [4 per cell]  5 Er 3.06-3.41
Er (0.2500, 0.2500, 0.2891) [4 per cell]  5 Er 3.06-3.35
Mg (0.2500, 0.7500, 0.5000) [2 per cell]  4 Er 3.17

DFT (PBE) results for Ho3Er2Mg after structural relaxation.

Fermi-level density of states	1.41	states/eV/atom
DFT formation energy	-0.06	eV per formula unit
final energy	-24.51	eV/cell
E above lowest polymorph	0	meV/atom

Cell: 3.5224 3.5224 14.3228 Å, 90.00 90.00 90.00°
Last column: nearest neighbours and their distance in Å.
Space group P4/mmm (No. 123)
Unique sites:
Ho (0.0000, 0.0000, 0.0000) [1 per cell]  8 Er 3.52, 4 Ho 3.52
Ho (0.0000, 0.0000, 0.3442) [2 per cell]  4 Mg 3.34, 4 Er 3.49, 4 Ho 3.52
Er (0.5000, 0.5000, 0.1738) [2 per cell]  8 Ho 3.49-3.52, 4 Er 3.52
Mg (0.5000, 0.5000, 0.5000) [1 per cell]  8 Ho 3.34, 4 Mg 3.52

DFT (PBE) results for HoEr4Mg2 after structural relaxation.

Fermi-level density of states	1.39	states/eV/atom
DFT formation energy	0.49	eV per formula unit
final energy	-76.58	eV/cell
E above lowest polymorph	36	meV/atom

Cell: 5.3932 5.3932 23.9542 Å, 90.00 90.00 120.00°
Last column: nearest neighbours and their distance in Å.
Space group R-3m (No. 166, hexagonal axes)
Unique sites:
Ho (0.0000, 0.0000, 0.0000) [3 per cell]  6 Er 3.27, 2 Mg 3.56
Er (0.0000, 0.0000, 0.2921) [6 per cell]  3 Ho 3.27, 4 Er 3.33-3.40, 1 Mg 3.43
Er (0.0000, 0.0000, 0.4312) [6 per cell]  5 Er 3.29-3.40, 3 Mg 3.34
Mg (0.0000, 0.0000, 0.1487) [6 per cell]  3 Mg 3.23, 4 Er 3.34-3.43, 1 Ho 3.56

DFT (PBE) results for HoErMg after structural relaxation.

Fermi-level density of states	1.50	states/eV/atom
DFT formation energy	-0.10	eV per formula unit
final energy	-21.67	eV/cell
E above lowest polymorph	0	meV/atom

Cell: 3.6122 3.6122 13.0275 Å, 90.00 90.00 90.00°
Last column: nearest neighbours and their distance in Å.
Space group I4mm (No. 107)
Unique sites:
Ho (0.0000, 0.0000, 0.0000) [2 per cell]  4 Mg 3.31, 4 Er 3.46, 4 Ho 3.61
Er (0.0000, 0.0000, 0.3210) [2 per cell]  4 Mg 3.29, 4 Ho 3.46, 4 Er 3.61
Mg (0.0000, 0.0000, 0.6613) [2 per cell]  4 Er 3.29, 4 Ho 3.31, 4 Mg 3.61

DFT (PBE) results for Ho3Er2Mg6 after structural relaxation.

Fermi-level density of states	1.38	states/eV/atom
DFT formation energy	1.99	eV per formula unit
final energy	-60.87	eV/cell

Cell: 4.4082 4.4082 32.2284 Å, 90.00 90.00 90.00°
Last column: nearest neighbours and their distance in Å.
Space group I4/mmm (No. 139)
Unique sites:
Ho (0.0000, 0.0000, 0.0000) [2 per cell]  8 Er 3.49
Ho (0.0000, 0.0000, 0.2144) [4 per cell]  5 Mg 3.22-3.25
Er (0.0000, 0.0000, 0.4510) [4 per cell]  1 Er 3.16, 4 Mg 3.25, 4 Ho 3.49
Mg (0.0000, 0.0000, 0.3143) [4 per cell]  4 Mg 2.99, 5 Ho 3.22-3.25
Mg (0.0000, 0.5000, 0.1229) [8 per cell]  6 Mg 2.99-3.12, 2 Er 3.25